## TcRh3 (meta-GGA SCAN)

Data for a crystal of TcRh3 relaxed with PBEsol.

Cell and atoms, written as CIF:
```
data_TcRh3
_chemical_formula_sum 'Tc1 Rh3'
_symmetry_space_group_name_H-M 'P -6 m 2'
_symmetry_Int_Tables_number 187
_symmetry_space_group_name_Hall 'P -6 2'
_cell_length_a 2.6978
_cell_length_b 2.6978
_cell_length_c 8.5943
_cell_angle_alpha 90.00
_cell_angle_beta 90.00
_cell_angle_gamma 120.00
loop_
_atom_site_label
_atom_site_type_symbol
_atom_site_fract_x
_atom_site_fract_y
_atom_site_fract_z
Tc1 Tc 0.0000 0.0000 0.0000
Rh1 Rh 0.0000 0.0000 0.5000
Rh2 Rh 0.3333 0.6667 0.2437
```

Calculated values
Total DFT energy (no corrections) = -34.195 eV per atom
Total magnetization = 0.00 μB/f.u.
Energy relative to the elements = -0.40 eV per formula unit
Crystal system = hexagonal



## Tc3Rh (meta-GGA SCAN)

Data for a crystal of Tc3Rh relaxed with PBEsol.

Cell and atoms, written as CIF:
```
data_Tc3Rh
_chemical_formula_sum 'Tc18 Rh6'
_symmetry_space_group_name_H-M 'P m m n'
_symmetry_Int_Tables_number 59
_cell_length_a 5.427
_cell_length_b 13.055
_cell_length_c 4.669
_cell_angle_alpha 90.00
_cell_angle_beta 90.00
_cell_angle_gamma 90.00
loop_
_symmetry_equiv_pos_as_xyz
'x,y,z'
'-x,-y,-z'
'-x+1/2,-y+1/2,z'
'x+1/2,y+1/2,-z'
'x+1/2,-y,-z'
'-x+1/2,y,z'
'-x,y+1/2,-z'
'x,-y+1/2,z'
loop_
_atom_site_label
_atom_site_type_symbol
_atom_site_fract_x
_atom_site_fract_y
_atom_site_fract_z
Tc1 Tc 0.002 0.250 0.005
Tc2 Tc 0.003 0.586 0.333
Tc3 Tc 0.250 0.086 0.165
Tc4 Tc 0.250 0.750 0.490
Rh1 Rh 0.250 0.250 0.507
Rh2 Rh 0.250 0.584 0.835
```

Calculated values
Total DFT energy (no corrections) = -34.834 eV per atom
Total magnetization = 0.00 μB/f.u.
Energy relative to the elements = -0.39 eV per formula unit
Energy above the lowest structure with this stoichiometry = 11 kJ/mol of formula units
Crystal system = orthorhombic



## TcRh5 (meta-GGA SCAN)

Data for a crystal of TcRh5 relaxed with PBEsol.

Cell and atoms, written as CIF:
```
data_TcRh5
_chemical_formula_sum 'Tc1 Rh5'
_symmetry_space_group_name_H-M 'P -6 2 m'
_symmetry_Int_Tables_number 189
_symmetry_space_group_name_Hall 'P -6 -2'
_cell_length_a 4.6689
_cell_length_b 4.6689
_cell_length_c 4.3009
_cell_angle_alpha 90.00
_cell_angle_beta 90.00
_cell_angle_gamma 120.00
loop_
_atom_site_label
_atom_site_type_symbol
_atom_site_fract_x
_atom_site_fract_y
_atom_site_fract_z
Tc1 Tc 0.0000 0.0000 0.0000
Rh1 Rh 0.0000 0.6682 0.5000
Rh2 Rh 0.3333 0.6667 0.0000
```

Calculated values
Total DFT energy (no corrections) = -34.066 eV per atom
Total magnetization = 0.00 μB/f.u.
Energy relative to the elements = -0.48 eV per formula unit
Energy above the lowest structure with this stoichiometry = 0 kJ/mol of formula units
Crystal system = hexagonal